# 1
YBeRu3: single point on PBEsol structure, meta-GGA SCAN.

a = 4.706 Å, b = 4.706 Å, c = 4.706 Å
α = 90.00°, β = 90.00°, γ = 90.00°
Element x y z (fractional)
Y: 0.000 0.000 0.000
Be: 0.500 0.500 0.500
Ru: 0.000 0.000 0.500
Ru: 0.000 0.500 0.000
Ru: 0.500 0.000 0.000

Computed properties:
- E: -1.8354 Ry per atom
- Total magnetization: 4.51 μB per formula unit
- DOS at the Fermi energy: 3.49 states/eV per cell

=====

# 2
YBeRu: single point on PBEsol structure, meta-GGA SCAN.

a = 3.974 Å, b = 3.974 Å, c = 3.648 Å
α = 90.00°, β = 90.00°, γ = 120.00°
Element x y z (fractional)
Y: 0.000 0.000 0.000
Be: 0.667 0.333 0.500
Ru: 0.333 0.667 0.500

Computed properties:
- Total magnetization: 0.00 μB per formula unit
- Polymorph energy (0 for the lowest one): 0.00 eV per formula unit
- DOS at the Fermi energy: 1.01 states/eV per cell

=====

# 3
YBeRu2: single point on PBEsol structure, meta-GGA SCAN.

a = 4.407 Å, b = 4.407 Å, c = 4.407 Å
α = 60.00°, β = 60.00°, γ = 60.00°
Element x y z (fractional)
Y: 0.000 0.000 0.000
Be: 0.750 0.750 0.750
Ru: 0.250 0.250 0.250
Ru: 0.500 0.500 0.500

Computed properties:
- E: -1.8597 Ry per atom
- Total magnetization: 1.31 μB per formula unit
- DOS at the Fermi energy: 4.57 states/eV per cell

=====

# 4
YBeRu: single point on PBEsol structure, meta-GGA SCAN.

a = 4.353 Å, b = 4.353 Å, c = 4.353 Å
α = 60.00°, β = 60.00°, γ = 60.00°
Element x y z (fractional)
Y: 0.000 0.000 0.000
Be: 0.250 0.250 0.250
Ru: 0.750 0.750 0.750

Computed properties:
- Total magnetization: 0.00 μB per formula unit
- Polymorph energy (0 for the lowest one): 4.10 eV per formula unit
- DOS at the Fermi energy: 2.01 states/eV per cell

=====

# 5
Y3BeRu: single point on PBEsol structure, meta-GGA SCAN.

a = 5.198 Å, b = 5.198 Å, c = 5.198 Å
α = 90.00°, β = 90.00°, γ = 90.00°
Element x y z (fractional)
Y: 0.000 0.000 0.500
Y: 0.000 0.500 0.000
Y: 0.500 0.000 0.000
Be: 0.500 0.500 0.500
Ru: 0.000 0.000 0.000

Computed properties:
- E: -1.7865 Ry per atom
- Total magnetization: 0.00 μB per formula unit
- DOS at the Fermi energy: 3.67 states/eV per cell

=====

# 6
YBe2Ru2: single point on PBEsol structure, meta-GGA SCAN.

a = 5.287 Å, b = 5.287 Å, c = 5.287 Å
α = 135.22°, β = 135.22°, γ = 65.19°
Element x y z (fractional)
Y: 0.000 0.000 0.000
Be: 0.250 0.750 0.500
Be: 0.750 0.250 0.500
Ru: 0.366 0.366 0.000
Ru: 0.634 0.634 0.000

Computed properties:
- E: -1.5819 Ry per atom
- Total magnetization: 0.00 μB per formula unit
- DOS at the Fermi energy: 4.20 states/eV per cell